VASP calculation (PBE+U) on a relaxed structure of MnPbO3.

The structure in extended XYZ format:
```
5
Lattice="4.164 0.000 0.000 0.000 4.164 0.000 0.000 0.000 4.164" Properties=species:S:1:pos:R:3 pbc="T T T"
O 2.082 0.000 0.000
O 0.000 0.000 2.082
O 0.000 2.082 0.000
Mn 2.082 2.082 2.082
Pb 0.000 0.000 0.000
```

Values from the calculation:
Density in Mg/m³: 7.13
SG: Pm-3m (221)
Raw total energy in eV/atom: -5.74